(1)
Entry from Alexandria via LeMat-Bulk: crystalline PaFeRe2 at its relaxed geometry (GGA-PBE).

a = 2.9547 Å, b = 2.9547 Å, c = 7.5122 Å
α = 90.00°, β = 90.00°, γ = 90.00°
Fractional coordinates of all 4 atoms:
Re: 0.0000 0.0000 0.3049
Re: 0.0000 0.0000 0.6951
Fe: 0.5000 0.5000 0.5000
Pa: 0.5000 0.5000 0.0000

Results
- E_tot (eV per cell) = -42.15
- DOS at the Fermi energy (states/eV/cell) = 3.04

***

(2)
Entry from Alexandria via LeMat-Bulk: crystalline LiDySeS at its relaxed geometry (GGA-PBE).

a = 3.9922 Å, b = 3.9922 Å, c = 6.7423 Å
α = 72.78°, β = 72.78°, γ = 60.00°
Fractional coordinates of all 4 atoms:
Se: 0.2521 0.2521 0.2438
Li: 0.0009 0.0009 0.9974
Dy: 0.4959 0.4959 0.5122
S: 0.7511 0.7511 0.7466

Results
- E_tot (eV per cell) = -21.20
- DOS at the Fermi energy (states/eV/cell) = 0.00

***

(3)
Entry from Alexandria via LeMat-Bulk: crystalline K2CeTi2O7 at its relaxed geometry (GGA-PBE).

a = 3.8727 Å, b = 3.8727 Å, c = 11.2571 Å
α = 80.09°, β = 80.09°, γ = 90.00°
Fractional coordinates of all 12 atoms:
O: 0.0776 0.5776 0.8450
O: 0.5776 0.0776 0.8450
O: 0.6781 0.6781 0.6440
O: 0.9224 0.4224 0.1550
O: 0.5000 0.5000 0.0000
O: 0.4224 0.9224 0.1550
O: 0.3219 0.3219 0.3560
Ti: 0.4035 0.4035 0.1927
Ti: 0.5965 0.5965 0.8073
Ce: 0.0000 0.0000 0.0000
K: 0.8072 0.8072 0.3854
K: 0.1928 0.1928 0.6146

Results
- E_tot (eV per cell) = -92.04

***

Q: Look up the E_tot of the third one.
A: -92.04 eV per cell